Record 1
A relaxed Er3Zr3NiTe2 crystal, computed with PBE.

Calculated values
Magnetic moment = 0.02 μB per cell
ρ = 8.683 g cm⁻³
V = 208 Å³ per cell
VASP energy = -6.2316 eV per atom

a b c (Å): 8.1018 8.1018 3.6649
angles (deg): 90.00 90.00 120.00
Space group P-62m (No. 189)
Unique sites:
Er: 0.0000 0.2436 0.0000 x3
Zr: 0.0000 0.5910 0.5000 x3
Ni: 0.0000 0.0000 0.5000 x1
Te: 0.3333 0.6667 0.0000 x2

***

Record 2
A relaxed Dy3Er2Lu2Ni2Te2 crystal, computed with PBE.

Calculated values
Magnetic moment = 0.03 μB per cell
ρ = 9.145 g cm⁻³
V = 561 Å³ per cell
VASP energy = -5.1668 eV per atom

a b c (Å): 3.828 15.438 9.492
angles (deg): 90.00 90.00 90.00
Space group Imm2 (No. 44)
Unique sites:
Dy: 0.000 0.000 0.000 x2
Dy: 0.000 0.134 0.581 x4
Er: 0.000 0.315 0.377 x4
Lu: 0.000 0.353 0.728 x4
Ni: 0.000 0.235 0.069 x4
Te: 0.000 0.000 0.337 x2
Te: 0.000 0.500 0.234 x2

***

Record 3
A relaxed SrPrNi2Ge4 crystal, computed with PBE.

Calculated values
Magnetic moment = 0.01 μB per cell
ρ = 6.770 g cm⁻³
V = 312 Å³ per cell
VASP energy = -5.1446 eV per atom

a b c (Å): 4.221 4.324 17.103
angles (deg): 90.00 90.00 90.00
Space group Amm2 (No. 38)
Unique sites:
Sr: 0.000 0.000 0.000 x2
Pr: 0.500 0.000 0.216 x2
Ni: 0.000 0.000 0.787 x2
Ni: 0.500 0.000 0.424 x2
Ge: 0.000 0.000 0.357 x2
Ge: 0.000 0.000 0.651 x2
Ge: 0.500 0.000 0.565 x2
Ge: 0.500 0.000 0.855 x2

***

Record 4
A relaxed Zr2SiGe crystal, computed with PBE.

Calculated values
Magnetic moment = 0.01 μB per cell
ρ = 6.384 g cm⁻³
V = 147 Å³ per cell
VASP energy = -7.6555 eV per atom

a b c (Å): 5.371 3.874 7.080
angles (deg): 90.00 90.23 90.00
Space group P2_1/m (No. 11)
Unique sites:
Zr: 0.126 0.250 0.170 x2
Zr: 0.367 0.250 0.685 x2
Si: 0.363 0.750 0.959 x2
Ge: 0.155 0.750 0.453 x2

***

Record 5
A relaxed Nd5TmTe6 crystal, computed with PBE.

Calculated values
Magnetic moment = 0.00 μB per cell
ρ = 7.290 g cm⁻³
V = 754 Å³ per cell
VASP energy = -5.3129 eV per atom

a b c (Å): 7.741 13.401 7.709
angles (deg): 90.00 109.40 90.00
Space group C2/m (No. 12)
Unique sites:
Nd: 0.000 0.000 0.000 x2
Nd: 0.000 0.168 0.500 x4
Nd: 0.000 0.323 0.000 x4
Tm: 0.000 0.500 0.500 x2
Te: 0.238 0.500 0.250 x4
Te: 0.241 0.340 0.742 x8

***

Record 6
A relaxed Cu crystal, computed with PBE.

Calculated values
Energy of formation = 2.298 eV/atom
ρ = 8.903 g cm⁻³
V = 47 Å³ per cell
VASP energy = -1.4195 eV per atom

a b c (Å): 3.3144 3.3144 4.9830
angles (deg): 90.00 90.00 120.00
Space group P6_3/mmc (No. 194)
Unique sites:
Cu: 0.0000 0.0000 0.2500 x2
Cu: 0.3333 0.6667 0.2500 x2

***

Record 7
A relaxed CdRe2Pb crystal, computed with PBE.

Calculated values
Magnetic moment = 1.90 μB per cell
ρ = 15.580 g cm⁻³
V = 295 Å³ per cell
VASP energy = -6.2521 eV per atom

a b c (Å): 6.657 6.657 6.657
angles (deg): 90.00 90.00 90.00
Space group F-43m (No. 216)
Unique sites:
Cd: 0.000 0.000 0.000 x4
Re: 0.000 0.000 0.500 x4
Re: 0.250 0.250 0.250 x4
Pb: 0.250 0.250 0.750 x4

***

Record 8
A relaxed InNi15 crystal, computed with PBE.

Calculated values
Magnetic moment = 6.57 μB per cell
ρ = 5.915 g cm⁻³
V = 559 Å³ per cell
VASP energy = -5.3021 eV per atom

a b c (Å): 4.233 32.818 4.232
angles (deg): 90.00 108.09 90.00
Space group P2/c (No. 13)
Unique sites:
In: 0.000 0.201 0.250 x2
Ni: 0.000 0.253 0.750 x2
Ni: 0.000 0.292 0.250 x2
Ni: 0.000 0.330 0.750 x2
Ni: 0.000 0.368 0.250 x2
Ni: 0.000 0.405 0.750 x2
Ni: 0.000 0.443 0.250 x2
Ni: 0.000 0.481 0.750 x2
Ni: 0.500 0.218 0.750 x2
Ni: 0.500 0.253 0.250 x2
Ni: 0.500 0.292 0.750 x2
Ni: 0.500 0.330 0.250 x2
Ni: 0.500 0.368 0.750 x2
Ni: 0.500 0.405 0.250 x2
Ni: 0.500 0.443 0.750 x2
Ni: 0.500 0.482 0.250 x2

***

Record 9
A relaxed NaErAgTe3 crystal, computed with PBE.

Calculated values
Magnetic moment = 0.03 μB per cell
ρ = 6.415 g cm⁻³
V = 705 Å³ per cell
VASP energy = -3.8397 eV per atom

a b c (Å): 4.165 15.173 11.157
angles (deg): 90.00 90.00 90.00
Space group Cmcm (No. 63)
Unique sites:
Na: 0.000 0.232 0.250 x4
Er: 0.000 0.000 0.000 x4
Ag: 0.000 0.468 0.750 x4
Te: 0.000 0.093 0.750 x4
Te: 0.000 0.358 0.553 x8

***

Record 10
A relaxed LaPrCo2Si2 crystal, computed with PBE.

Calculated values
Magnetic moment = 0.59 μB per cell
ρ = 6.471 g cm⁻³
V = 116 Å³ per cell
VASP energy = -6.4724 eV per atom

a b c (Å): 4.043 4.043 7.126
angles (deg): 90.00 90.00 90.00
Space group P4mm (No. 99)
Unique sites:
La: 0.000 0.000 0.000 x1
Pr: 0.500 0.500 0.369 x1
Co: 0.000 0.500 0.684 x2
Si: 0.000 0.000 0.517 x1
Si: 0.500 0.500 0.850 x1

***

> Which value of VASP energy does entry 8 give?

-5.3021 eV per atom

***

What did the ninth record say?
A relaxed NaErAgTe3 crystal, computed with PBE.

Calculated values
Magnetic moment = 0.03 μB per cell
ρ = 6.415 g cm⁻³
V = 705 Å³ per cell
VASP energy = -3.8397 eV per atom

a b c (Å): 4.165 15.173 11.157
angles (deg): 90.00 90.00 90.00
Space group Cmcm (No. 63)
Unique sites:
Na: 0.000 0.232 0.250 x4
Er: 0.000 0.000 0.000 x4
Ag: 0.000 0.468 0.750 x4
Te: 0.000 0.093 0.750 x4
Te: 0.000 0.358 0.553 x8

***

> Which formula does entry 1 have?

Er3Zr3NiTe2